<a>
YTiRe2: relaxed, PBE.

a = 4.7102 Å, b = 4.7102 Å, c = 9.2868 Å
α = 75.31°, β = 75.31°, γ = 90.00°
Fractional coordinates of all 8 atoms:
Y 0.0000 0.0000 0.0000
Y 0.7500 0.2500 0.5000
Re 0.4313 0.1250 0.2500
Re 0.3187 0.6250 0.2500
Re 0.3750 0.5687 0.7500
Re 0.8750 0.6813 0.7500
Ti 0.5000 0.5000 0.0000
Ti 0.2500 0.7500 0.5000

Summary:
**Size of the total moment**: 0.0 μB/cell

=====

<b>
YTiRe2: relaxed, PBE.

a = 4.6214 Å, b = 4.6214 Å, c = 4.6214 Å
α = 60.00°, β = 60.00°, γ = 60.00°
Fractional coordinates of all 4 atoms:
Y 0.5000 0.5000 0.5000
Re 0.2500 0.2500 0.2500
Re 0.7500 0.7500 0.7500
Ti 0.0000 0.0000 0.0000

Summary:
**Size of the total moment**: 0.0 μB/cell

=====

Which structure is most stable? <b>, by 56.1 kJ/mol of atoms over the runner-up.

=====

<a>
YTi2Re2: relaxed, PBE.

a = 4.1554 Å, b = 4.1554 Å, c = 6.3562 Å
α = 70.92°, β = 70.92°, γ = 90.00°
Fractional coordinates of all 5 atoms:
Y 0.0000 0.0000 0.0000
Re 0.3888 0.3888 0.2224
Re 0.6112 0.6112 0.7776
Ti 0.7500 0.2500 0.5000
Ti 0.2500 0.7500 0.5000

Summary:
**Size of the total moment**: 0.0 μB/cell

=====

<b>
YTi2Re2: relaxed, PBE.

a = 7.7214 Å, b = 7.7214 Å, c = 3.0367 Å
α = 90.00°, β = 90.00°, γ = 90.00°
Fractional coordinates of all 10 atoms:
Y 0.0000 0.0000 0.0000
Y 0.5000 0.5000 0.0000
Re 0.3510 0.8510 0.0000
Re 0.8510 0.6490 0.0000
Re 0.6490 0.1490 0.0000
Re 0.1490 0.3510 0.0000
Ti 0.1410 0.6410 0.5000
Ti 0.6410 0.8590 0.5000
Ti 0.8590 0.3590 0.5000
Ti 0.3590 0.1410 0.5000

Summary:
**Size of the total moment**: 0.0 μB/cell

=====

Which structure is most stable? <a>, by 4.0 kJ/mol of atoms over the runner-up.

=====

<a>
Y2TiRe: relaxed, PBE.

a = 4.9798 Å, b = 4.9798 Å, c = 4.9798 Å
α = 60.00°, β = 60.00°, γ = 60.00°
Fractional coordinates of all 4 atoms:
Y 0.2500 0.2500 0.2500
Y 0.7500 0.7500 0.7500
Re 0.5000 0.5000 0.5000
Ti 0.0000 0.0000 0.0000

Summary:
**Size of the total moment**: 0.0 μB/cell

=====

<b>
Y2TiRe: relaxed, PBE.

a = 8.1031 Å, b = 8.1031 Å, c = 6.4325 Å
α = 50.96°, β = 50.96°, γ = 90.00°
Site moments in Bohr magnetons follow the coordinates.
Fractional coordinates of all 8 atoms:
Y 0.6637 0.1250 0.2500  0.05
Y 0.0863 0.6250 0.2500  0.05
Y 0.3750 0.3363 0.7500  0.05
Y 0.8750 0.9137 0.7500  0.05
Re 0.0000 0.0000 0.0000  -0.16
Re 0.7500 0.2500 0.5000  -0.16
Ti 0.5000 0.5000 0.0000  0.87
Ti 0.2500 0.7500 0.5000  0.87

Summary:
**Size of the total moment**: 2.1 μB/cell

=====

Which structure is most stable? <a>, by 35.2 kJ/mol of atoms over the runner-up.